A plane-wave DFT calculation with PBE was carried out for a geometry-optimized ScGaAsSe2 structure.

Cell and atoms, written as POSCAR:
```
ScGaAsSe2
1.0
4.964 0.000 0.000
0.000 4.964 0.000
0.000 0.000 4.812
Sc Ga As Se
1 1 1 2
direct
0.000 0.000 0.000
0.500 0.500 0.500
0.500 0.500 0.000
0.000 0.500 0.500
0.500 0.000 0.500
```

**Crystal system**: tetragonal
**ΔE_f (raw)**: -0.022 eV per atom
**Distance to the lowest polymorph of the same formula**: 227 meV per atom

A plane-wave DFT calculation with PBE was carried out for a geometry-optimized MnIr2Rh5 structure.

Cell and atoms, written as POSCAR:
```
MnIr2Rh5
1.0
-1.917 1.917 7.701
1.917 -1.917 7.701
1.917 1.917 -7.701
Mn Ir Rh
1 2 5
direct
0.000 0.000 0.000
0.251 0.251 0.000
0.749 0.749 0.000
0.126 0.626 0.500
0.374 0.874 0.500
0.500 0.500 0.000
0.626 0.126 0.500
0.874 0.374 0.500
```

**Crystal system**: tetragonal
**Calculated formation energy**: -0.0699 eV per atom